1.
The following is a DFT calculation (PBE) of a geometry-optimized SmTcS structure.

Summary:
M_tot   0.0000 μB/atom

a = 3.6638 Å, b = 3.6638 Å, c = 9.5115 Å
α = 90.00°, β = 90.00°, γ = 90.00°
Last column: nearest neighbours and their distance in Å.
Fractional coordinates of all 6 atoms:
Tc1 0.0000 0.0000 0.0000  4 Tc 2.59
Tc2 0.5000 0.5000 0.0000  4 Tc 2.59
S1 0.0000 0.5000 0.6156  4 Sm 2.74
S2 0.5000 0.0000 0.3844  4 Sm 2.74
Sm1 0.0000 0.5000 0.2895  4 S 2.74
Sm2 0.5000 0.0000 0.7105  4 S 2.74

=====

2.
The following is a DFT calculation (PBE) of a geometry-optimized Sm2TeS structure.

Summary:
M_tot   0.0000 μB/atom
Polymorph energy (0 for the lowest one)   0.0 meV per atom

a = 4.1140 Å, b = 4.1140 Å, c = 7.6631 Å
α = 74.43°, β = 74.43°, γ = 60.00°
Last column: nearest neighbours and their distance in Å.
Fractional coordinates of all 4 atoms:
Sm1 0.0692 0.0692 0.7926  3 S 2.80
Sm2 0.2634 0.2634 0.2098  3 S 2.84
Te1 0.4992 0.4992 0.5023  6 Sm 3.18-3.19
S1 0.6682 0.6682 0.9954  6 Sm 2.80-2.84

=====

3.
The following is a DFT calculation (PBE) of a geometry-optimized SmTeS2 structure.

Summary:
M_tot   0.0000 μB/atom

a = 4.1034 Å, b = 4.1034 Å, c = 8.6070 Å
α = 76.21°, β = 76.21°, γ = 60.00°
Last column: nearest neighbours and their distance in Å.
Fractional coordinates of all 4 atoms:
S1 0.1069 0.1069 0.6793  1 Te 2.65, 3 Sm 2.80
S2 0.8931 0.8931 0.3207  1 Te 2.65, 3 Sm 2.80
Te1 0.0000 0.0000 0.0000  2 S 2.65
Sm1 0.5000 0.5000 0.5000  6 S 2.80

=====

4.
The following is a DFT calculation (PBE) of a geometry-optimized Sm6Te5S structure.

Summary:
M_tot   0.0000 μB/atom

a = 7.5618 Å, b = 7.6225 Å, c = 7.5995 Å
α = 59.90°, β = 80.47°, γ = 70.73°
Last column: nearest neighbours and their distance in Å.
Fractional coordinates of all 12 atoms:
Sm1 0.7776 0.0721 0.2954  1 S 2.75
Sm2 0.2224 0.6325 0.2954  1 S 2.75
Sm3 0.2332 0.2144 0.0000  1 S 2.77
Sm4 0.7668 0.7856 0.0000  1 S 2.77
Sm5 0.7776 0.3675 0.7046  1 S 2.75
Sm6 0.2224 0.9279 0.7046  1 S 2.75
Te1 0.5000 0.1782 0.6436  6 Sm 3.11-3.35
Te2 0.0000 0.3362 0.3275  6 Sm 3.13-3.15
Te3 0.5000 0.5000 0.0000  6 Sm 3.13-3.42
Te4 0.0000 0.6638 0.6725  6 Sm 3.13-3.15
Te5 0.5000 0.8218 0.3564  6 Sm 3.11-3.35
S1 0.0000 0.0000 0.0000  6 Sm 2.75-2.77

=====

5.
The following is a DFT calculation (PBE) of a geometry-optimized Sm2Te2S structure.

Summary:
M_tot   0.0000 μB/atom
Polymorph energy (0 for the lowest one)   0.0 meV per atom

a = 4.3588 Å, b = 8.1696 Å, c = 9.0056 Å
α = 90.00°, β = 104.00°, γ = 90.00°
Last column: nearest neighbours and their distance in Å.
Fractional coordinates of all 10 atoms:
Sm1 0.5499 0.5772 0.0998  2 S 2.85
Sm2 0.1785 0.9951 0.3569  2 S 2.72
Sm3 0.8215 0.4951 0.6431  2 S 2.72
Sm4 0.4501 0.0772 0.9002  2 S 2.85
Te1 0.0548 0.2713 0.1097  5 Sm 3.12-3.32
Te2 0.1975 0.6092 0.3951  5 Sm 3.17-3.39
Te3 0.8025 0.1092 0.6049  5 Sm 3.17-3.39
Te4 0.9452 0.7713 0.8903  5 Sm 3.12-3.32
S1 0.5940 0.9128 0.1881  4 Sm 2.72-2.85
S2 0.4060 0.4128 0.8119  4 Sm 2.72-2.85

=====

6.
The following is a DFT calculation (PBE) of a geometry-optimized Sm5TeS4 structure.

Summary:
M_tot   0.0000 μB/atom

a = 4.0719 Å, b = 7.1326 Å, c = 9.1640 Å
α = 75.30°, β = 77.16°, γ = 73.41°
Last column: nearest neighbours and their distance in Å.
Fractional coordinates of all 10 atoms:
Sm1 0.2108 0.8971 0.6814  5 S 2.80-2.92, 1 Te 3.07
Sm2 0.7892 0.1029 0.3186  5 S 2.80-2.92, 1 Te 3.07
Sm3 0.3858 0.3417 0.8866  4 S 2.79-2.93, 2 Te 3.11
Sm4 0.0000 0.5000 0.5000  6 S 2.88-2.89
Sm5 0.6142 0.6583 0.1134  4 S 2.79-2.93, 2 Te 3.11
Te1 0.0000 0.0000 0.0000  6 Sm 3.07-3.11
S1 0.5933 0.2070 0.6065  6 Sm 2.80-2.92
S2 0.2057 0.3813 0.2074  6 Sm 2.79-2.93
S3 0.7943 0.6187 0.7926  6 Sm 2.79-2.93
S4 0.4067 0.7930 0.3935  6 Sm 2.80-2.92

=====

7.
The following is a DFT calculation (PBE) of a geometry-optimized Sm3TeS2 structure.

Summary:
M_tot   0.0000 μB/atom

a = 4.2612 Å, b = 7.3442 Å, c = 10.7165 Å
α = 90.00°, β = 90.00°, γ = 106.86°
Last column: nearest neighbours and their distance in Å.
Fractional coordinates of all 12 atoms:
Sm1 0.6442 0.2884 0.0494  1 S 2.66
Sm2 0.0803 0.1606 0.7500  4 S 2.66-2.91
Sm3 0.6442 0.2884 0.4506  1 S 2.66
Sm4 0.9197 0.8394 0.2500  4 S 2.66-2.91
Sm5 0.3558 0.7116 0.9506  1 S 2.66
Sm6 0.3558 0.7116 0.5494  1 S 2.66
Te1 0.2515 0.5031 0.2500  8 Sm 3.18-3.53
Te2 0.7485 0.4969 0.7500  8 Sm 3.18-3.53
S1 0.0000 0.0000 0.0000  6 Sm 2.91-2.99
S2 0.0000 0.0000 0.5000  6 Sm 2.91-2.99
S3 0.5326 0.0652 0.2500  4 Sm 2.66
S4 0.4674 0.9348 0.7500  4 Sm 2.66

=====

8.
The following is a DFT calculation (PBE) of a geometry-optimized Sm4TeS3 structure.

Summary:
M_tot   0.0000 μB/atom

a = 4.0725 Å, b = 4.0725 Å, c = 27.5209 Å
α = 90.00°, β = 90.00°, γ = 120.00°
Last column: nearest neighbours and their distance in Å.
Fractional coordinates of all 16 atoms:
S1 0.0000 0.0000 0.0000  6 Sm 2.89
S2 0.0000 0.0000 0.5000  6 Sm 2.89
S3 0.3333 0.6667 0.8832  6 Sm 2.81
S4 0.6667 0.3333 0.1168  6 Sm 2.81
S5 0.6667 0.3333 0.3832  6 Sm 2.81
S6 0.3333 0.6667 0.6168  6 Sm 2.81
Te1 0.6667 0.3333 0.7500  6 Sm 3.17
Te2 0.3333 0.6667 0.2500  6 Sm 3.17
Sm1 0.6667 0.3333 0.9388  6 S 2.81-2.89
Sm2 0.3333 0.6667 0.0612  6 S 2.81-2.89
Sm3 0.3333 0.6667 0.4388  6 S 2.81-2.89
Sm4 0.6667 0.3333 0.5612  6 S 2.81-2.89
Sm5 0.0000 0.0000 0.8274  3 S 2.81
Sm6 0.0000 0.0000 0.1726  3 S 2.81
Sm7 0.0000 0.0000 0.3274  3 S 2.81
Sm8 0.0000 0.0000 0.6726  3 S 2.81

=====

Here are the calculated energy numbers, same order: -43.34 -23.65 -20.46 -66.22 -55.89 -61.90 -69.56 -98.85 (eV for the cell shown).